The following is a DFT calculation (PBE+U) of Li2MnCuF8 after structural relaxation.

The structure in POSCAR format:
```
Li2MnCuF8
1.0
-3.102 3.102 3.669
3.102 -3.102 3.669
3.102 3.102 -3.669
Li Mn Cu F
2 1 1 8
direct
0.000 0.000 0.000
0.750 0.250 0.500
0.500 0.500 0.000
0.250 0.750 0.500
0.148 0.441 0.706
0.211 0.002 0.791
0.211 0.420 0.209
0.559 0.265 0.706
0.559 0.852 0.294
0.580 0.789 0.791
0.735 0.441 0.294
0.998 0.789 0.209
```

Values from the calculation:
Final energy = -56.6 eV/f.u.